(1)
Compound: Tl5S
Source: the Alexandria database
Functional: PBE
Structure: relaxed

The structure in POSCAR format:
```
Tl5S
1.0
1.9227 -8.5636 0.0000
1.9227 8.5636 0.0000
0.0000 0.0000 5.5313
Tl S
5 1
Cartesian
0.0000 0.0000 0.0000
1.9227 6.3083 2.7657
1.9227 2.9267 0.0000
1.9227 -2.9267 0.0000
1.9227 -6.3083 2.7657
1.9227 0.0000 2.7657
```

Values from the calculation:
Density, g/cm3: 9.6
E_form (uncorrected), eV/atom: -0.071
Magnetic moment, μB per atom: 0.000

=====

(2)
Compound: CrPd2Pt6
Source: the Alexandria database
Functional: PBE
Structure: relaxed

The structure in POSCAR format:
```
CrPd2Pt6
1.0
7.7018 0.0000 0.0000
-3.8509 6.6699 0.0000
0.0000 0.0000 2.7368
Cr Pd Pt
1 2 6
Cartesian
0.0000 0.0000 0.0000
0.0000 4.4466 1.3684
3.8509 2.2233 1.3684
-1.2491 2.1636 0.6092
-2.6017 4.5063 2.1276
2.4983 0.0000 0.6092
1.2491 2.1636 2.1276
5.2035 0.0000 2.1276
2.6017 4.5063 0.6092
```

Values from the calculation:
Density, g/cm3: 17.0
Calculated formation energy, eV per formula unit: 0.02
Magnetic moment, μB per atom: 0.291